A) Crystalline CuSiCl2 at its relaxed geometry. Source: the Alexandria database, functional PBE.

a b c (Å): 3.135 3.135 8.105
angles (deg): 90.00 90.00 90.00
Positions (direct):
1 Cu 0.000 0.000 0.000
2 Si 0.500 0.500 0.185
3 Cl 0.000 0.000 0.397
4 Cl 0.500 0.500 0.836

---

B) Crystalline CuSiCl2 at its relaxed geometry. Source: the Alexandria database, functional PBE.

a b c (Å): 7.397 7.397 3.388
angles (deg): 103.05 103.05 29.34
Positions (direct):
1 Cu 0.000 0.000 0.000
2 Si 0.500 0.500 0.500
3 Cl 0.359 0.359 0.861
4 Cl 0.641 0.641 0.139

---

Which is most stable, and by how much? B), by 12.1 kJ/mol of atoms.

---

A) Crystalline Be2CdBr at its relaxed geometry. Source: the Alexandria database, functional PBE.

a b c (Å): 7.401 7.401 7.401
angles (deg): 25.60 25.60 25.60
Positions (direct):
1 Be 0.250 0.250 0.250
2 Be 0.750 0.750 0.750
3 Cd 0.500 0.500 0.500
4 Br 0.000 0.000 0.000

---

B) Crystalline Be2CdBr at its relaxed geometry. Source: the Alexandria database, functional PBE.

a b c (Å): 3.414 3.414 7.702
angles (deg): 90.00 90.00 124.47
Positions (direct):
1 Be 0.000 0.000 0.244
2 Be 0.000 0.000 0.756
3 Cd 0.500 0.500 0.500
4 Br 0.500 0.500 0.000

---

Which is most stable, and by how much? A), by 11.4 kJ/mol of atoms.

---

A) Crystalline LaTaCr2 at its relaxed geometry. Source: the Alexandria database, functional PBE.

a b c (Å): 4.929 4.929 5.772
angles (deg): 105.76 105.76 38.29
Positions (direct):
1 La 0.000 0.000 0.000
2 Ta 0.500 0.500 0.500
3 Cr 0.229 0.229 0.622
4 Cr 0.771 0.771 0.378

---

B) Crystalline LaTaCr2 at its relaxed geometry. Source: the Alexandria database, functional PBE.

a b c (Å): 3.423 3.422 6.811
angles (deg): 90.00 96.20 90.00
Positions (direct):
1 La 0.000 0.000 0.000
2 Ta 0.000 0.000 0.500
3 Cr 0.479 0.500 0.340
4 Cr 0.521 0.500 0.660

---

Which is most stable, and by how much? B), by 10.4 kJ/mol of atoms.

---

A) Crystalline Zn3P at its relaxed geometry. Source: the Alexandria database, functional PBE.

a b c (Å): 2.742 2.742 8.330
angles (deg): 90.00 90.00 99.70
Positions (direct):
1 Zn 0.000 0.000 0.000
2 Zn 0.500 0.500 0.250
3 Zn 0.500 0.500 0.750
4 P 0.000 0.000 0.500

---

B) Crystalline Zn3P at its relaxed geometry. Source: the Alexandria database, functional PBE.

a b c (Å): 2.588 3.482 7.184
angles (deg): 90.00 90.00 90.00
Positions (direct):
1 Zn 0.000 0.000 0.000
2 Zn 0.500 0.500 0.246
3 Zn 0.500 0.500 0.754
4 P 0.500 0.000 0.500

---

Which is most stable, and by how much? B), by 10.4 kJ/mol of atoms.

---

A) Crystalline Y2ZrIn at its relaxed geometry. Source: the Alexandria database, functional PBE.

a b c (Å): 5.891 5.891 5.891
angles (deg): 133.64 133.64 67.66
Positions (direct):
1 Y 0.000 0.000 0.000
2 Y 0.750 0.250 0.500
3 Zr 0.500 0.500 0.000
4 In 0.250 0.750 0.500

---

B) Crystalline Y2ZrIn at its relaxed geometry. Source: the Alexandria database, functional PBE.

a b c (Å): 4.727 4.727 4.691
angles (deg): 90.00 90.00 90.00
Positions (direct):
1 Y 0.000 0.500 0.000
2 Y 0.500 0.000 0.000
3 Zr 0.000 0.000 0.500
4 In 0.500 0.500 0.500

---

Which is most stable, and by how much? B), by 2.3 kJ/mol of atoms.

---

A) Crystalline MnTe2Au at its relaxed geometry. Source: the Alexandria database, functional PBE.

a b c (Å): 7.738 7.738 3.858
angles (deg): 92.44 92.44 69.08
Positions (direct):
1 Mn 0.000 0.000 0.000
2 Mn 0.153 0.153 0.529
3 Te 0.350 0.926 0.027
4 Te 0.361 0.361 0.567
5 Te 0.865 0.865 0.474
6 Te 0.926 0.350 0.027
7 Au 0.162 0.630 0.047
8 Au 0.630 0.162 0.047

---

B) Crystalline MnTe2Au at its relaxed geometry. Source: the Alexandria database, functional PBE.

a b c (Å): 7.451 7.451 7.451
angles (deg): 31.01 31.01 31.01
Positions (direct):
1 Mn 0.000 0.000 0.000
2 Te 0.584 0.584 0.584
3 Te 0.745 0.745 0.745
4 Au 0.164 0.164 0.164

---

Which is most stable, and by how much? A), by 9.4 kJ/mol of atoms.